## ScFeCl (GGA-PBE)

Data for a relaxed ScFeCl crystal.

## Properties
As for the crystal system: monoclinic. The density of states at the Fermi level is 0.558 states/eV/f.u. For the raw total energy, the calculation gives -0.226 Ha/atom. The raw formation energy is -0.60 eV/atom.

a b c (Å): 5.4098 3.2930 6.2366
angles (deg): 90.00 93.65 90.00
With the nearest neighbours (Å) after each atom.
Fractional coordinates of all 6 atoms:
Sc 0.3353 0.2500 0.2747  3 Cl 2.65-2.73, 4 Fe 2.68-2.96
Cl 0.2456 0.7500 0.9457  1 Fe 2.45, 3 Sc 2.65-2.73
Fe 0.8597 0.2500 0.4422  2 Fe 2.32, 1 Cl 2.45
Sc 0.6647 0.7500 0.7253  3 Cl 2.65-2.73, 4 Fe 2.68-2.96
Cl 0.7544 0.2500 0.0543  1 Fe 2.45, 3 Sc 2.65-2.73
Fe 0.1403 0.7500 0.5578  2 Fe 2.32, 1 Cl 2.45